Record 1
# Ce2GaSnOs (PBE, relaxed)
# ΔE_f (eV/atom): -0.4042
# Crystal system: monoclinic
data_Ce2GaSnOs
_cell_length_a 7.352
_cell_length_b 4.256
_cell_length_c 8.786
_cell_angle_alpha 90.00
_cell_angle_beta 114.36
_cell_angle_gamma 90.00
_symmetry_space_group_name_H-M 'P 1 21/m 1'
_symmetry_Int_Tables_number 11
loop_
_symmetry_equiv_pos_as_xyz
'x,y,z'
'-x,-y,-z'
'-x,y+1/2,-z'
'x,-y+1/2,z'
loop_
_atom_site_label
_atom_site_type_symbol
_atom_site_fract_x
_atom_site_fract_y
_atom_site_fract_z
Ce1 Ce 0.160 0.250 0.456
Ce2 Ce 0.334 0.750 0.155
Ga1 Ga 0.318 0.750 0.771
Sn1 Sn 0.129 0.250 0.843
Os1 Os 0.495 0.750 0.579


Record 2
# TbCeGaOs (PBE, relaxed)
# ΔE_f (eV/atom): -0.2865
# Crystal system: cubic
data_TbCeGaOs
_cell_length_a 7.044
_cell_length_b 7.044
_cell_length_c 7.044
_cell_angle_alpha 90.00
_cell_angle_beta 90.00
_cell_angle_gamma 90.00
_symmetry_space_group_name_H-M 'F -4 3 m'
_symmetry_Int_Tables_number 216
_symmetry_space_group_name_Hall 'F -4 2 3'
loop_
_atom_site_label
_atom_site_type_symbol
_atom_site_fract_x
_atom_site_fract_y
_atom_site_fract_z
Tb1 Tb 0.000 0.000 0.000
Ce1 Ce 0.000 0.000 0.500
Ga1 Ga 0.250 0.250 0.750
Os1 Os 0.250 0.250 0.250


Record 3
# TbCeGaOs (PBE, relaxed)
# ΔE_f (eV/atom): -0.4176
# Crystal system: orthorhombic
data_TbCeGaOs
_cell_length_a 3.871
_cell_length_b 4.124
_cell_length_c 11.468
_cell_angle_alpha 90.00
_cell_angle_beta 90.00
_cell_angle_gamma 90.00
_symmetry_space_group_name_H-M 'A m m 2'
_symmetry_Int_Tables_number 38
loop_
_symmetry_equiv_pos_as_xyz
'x,y,z'
'-x,-y,z'
'-x,y,z'
'x,-y,z'
'x,y+1/2,z+1/2'
'-x,-y+1/2,z+1/2'
'-x,y+1/2,z+1/2'
'x,-y+1/2,z+1/2'
loop_
_atom_site_label
_atom_site_type_symbol
_atom_site_fract_x
_atom_site_fract_y
_atom_site_fract_z
Tb1 Tb 0.000 0.000 0.000
Ce1 Ce 0.500 0.000 0.721
Ga1 Ga 0.500 0.000 0.421
Os1 Os 0.000 0.000 0.264


Record 4
# CeThGaOs (PBE, relaxed)
# ΔE_f (eV/atom): -0.3707
# Crystal system: orthorhombic
data_CeThGaOs
_cell_length_a 4.138
_cell_length_b 4.163
_cell_length_c 11.079
_cell_angle_alpha 90.00
_cell_angle_beta 90.00
_cell_angle_gamma 90.00
_symmetry_space_group_name_H-M 'A m m 2'
_symmetry_Int_Tables_number 38
loop_
_symmetry_equiv_pos_as_xyz
'x,y,z'
'-x,-y,z'
'-x,y,z'
'x,-y,z'
'x,y+1/2,z+1/2'
'-x,-y+1/2,z+1/2'
'-x,y+1/2,z+1/2'
'x,-y+1/2,z+1/2'
loop_
_atom_site_label
_atom_site_type_symbol
_atom_site_fract_x
_atom_site_fract_y
_atom_site_fract_z
Ce1 Ce 0.000 0.000 0.000
Th1 Th 0.500 0.000 0.279
Ga1 Ga 0.500 0.000 0.573
Os1 Os 0.000 0.000 0.731


> Which value of ΔE_f does entry 2 give?

-0.2865 eV/atom